Record 1
RbSb2Te3 | PBE-GGA | optimized geometry

abc: 7.1893 9.8903 10.0776
angles: 56.62 78.01 65.52
With the nearest neighbours (Å) after each atom.
Positions (direct):
Te  0.8009  0.5790  0.7609  2 Sb 2.87-3.10
Te  0.2540  0.9428  0.7609  2 Sb 2.80-3.10
Te  0.9000  0.7984  0.2820  1 Sb 2.81
Te  0.1830  0.3389  0.2702  1 Sb 2.81
Te  0.3211  0.8124  0.4065  2 Sb 2.83-2.88
Te  0.6490  0.3746  0.5484  2 Sb 2.87
Sb  0.9800  0.1250  0.3217  2 Te 2.81-2.83, 1 Sb 2.91
Sb  0.0040  0.4481  0.5291  3 Te 2.81-3.10
Sb  0.8776  0.0144  0.6518  2 Te 2.80-2.87, 1 Sb 2.91
Sb  0.5648  0.9133  0.5051  3 Te 2.87-3.10
Rb  0.3341  0.4854  0.8509  6 Te 3.65-3.89
Rb  0.6370  0.6827  0.1003  6 Te 3.71-3.92

Output
Symmetry ... No. 1
Distance to the lowest polymorph of the same formula ... 0 meV per atom
E_form (uncorrected) ... -7.345 kcal/mol of atoms
Total energy ... -3.425 eV per atom

Record 2
Rb3SbTe3 | PBE-GGA | optimized geometry

abc: 5.7789 14.2067 15.7905
angles: 90.00 90.00 90.00
With the nearest neighbours (Å) after each atom.
Positions (direct):
Rb  0.7500  0.1458  0.0184  4 Te 3.65-3.92, 1 Sb 4.04
Rb  0.7500  0.2305  0.7185  6 Te 3.69-3.91, 2 Sb 4.02, 1 Rb 4.07
Rb  0.7500  0.9394  0.6054  6 Te 3.70-4.08, 1 Rb 4.07
Rb  0.2500  0.8542  0.9816  4 Te 3.65-3.92, 1 Sb 4.04
Rb  0.7500  0.7305  0.7815  6 Te 3.69-3.91, 2 Sb 4.02, 1 Rb 4.07
Rb  0.7500  0.4394  0.8946  6 Te 3.70-4.08, 1 Rb 4.07
Rb  0.2500  0.0606  0.3946  6 Te 3.70-4.08, 1 Rb 4.07
Rb  0.2500  0.3542  0.5184  4 Te 3.65-3.92, 1 Sb 4.04
Rb  0.2500  0.5606  0.1054  6 Te 3.70-4.08, 1 Rb 4.07
Rb  0.2500  0.7695  0.2815  6 Te 3.69-3.91, 2 Sb 4.02, 1 Rb 4.07
Rb  0.7500  0.6458  0.4816  4 Te 3.65-3.92, 1 Sb 4.04
Rb  0.2500  0.2695  0.2185  6 Te 3.69-3.91, 2 Sb 4.02, 1 Rb 4.07
Te  0.7500  0.8946  0.3737  1 Sb 2.87
Te  0.2500  0.0122  0.1643  2 Sb 3.10
Te  0.2500  0.6054  0.8737  1 Sb 2.87
Te  0.7500  0.4878  0.6643  2 Sb 3.10
Te  0.7500  0.2626  0.3821  1 Sb 2.84
Te  0.7500  0.9878  0.8357  2 Sb 3.10
Te  0.7500  0.3946  0.1263  1 Sb 2.87
Te  0.2500  0.1054  0.6263  1 Sb 2.87
Te  0.2500  0.7374  0.6179  1 Sb 2.84
Te  0.2500  0.2374  0.8821  1 Sb 2.84
Te  0.2500  0.5122  0.3357  2 Sb 3.10
Te  0.7500  0.7626  0.1179  1 Sb 2.84
Sb  0.2500  0.5581  0.6969  4 Te 2.84-3.10
Sb  0.7500  0.4419  0.3031  4 Te 2.84-3.10
Sb  0.2500  0.0581  0.8031  4 Te 2.84-3.10
Sb  0.7500  0.9419  0.1969  4 Te 2.84-3.10

Output
Symmetry ... No. 62
Distance to the lowest polymorph of the same formula ... 0 meV per atom
E_form (uncorrected) ... -17.667 kcal/mol of atoms
Total energy ... -3.116 eV per atom

Record 3
RbSb2Te | PBE-GGA | optimized geometry

abc: 9.4569 9.4569 7.4485
angles: 50.59 50.59 90.00
With the nearest neighbours (Å) after each atom.
Positions (direct):
Sb  0.6670  0.1250  0.2500  2 Te 3.18, 2 Sb 3.38
Sb  0.8750  0.9170  0.7500  2 Te 3.18, 2 Sb 3.38
Sb  0.0830  0.6250  0.2500  2 Te 3.18, 2 Sb 3.38
Sb  0.3750  0.3330  0.7500  2 Te 3.18, 2 Sb 3.38
Rb  0.2500  0.7500  0.5000  2 Te 3.28
Rb  0.5000  0.5000  0.0000  2 Te 3.28
Te  0.7500  0.2500  0.5000  4 Sb 3.18, 2 Rb 3.28
Te  0.0000  0.0000  0.0000  4 Sb 3.18, 2 Rb 3.28

Output
Symmetry ... No. 122
E_form (uncorrected) ... 0.193 kcal/mol of atoms
Total energy ... -3.080 eV per atom

Record 4
Rb2SbTe2 | PBE-GGA | optimized geometry

abc: 8.9979 7.4705 9.4687
angles: 113.23 118.37 90.00
With the nearest neighbours (Å) after each atom.
Positions (direct):
Sb  0.7500  0.5000  0.0000  4 Te 3.08
Sb  0.2500  0.5000  0.0000  4 Te 3.08
Rb  0.3589  0.0321  0.7179  4 Te 3.72-3.89, 2 Sb 3.93
Rb  0.8589  0.6858  0.7179  4 Te 3.72-3.89, 2 Sb 3.93
Rb  0.6411  0.9679  0.2821  4 Te 3.72-3.89, 2 Sb 3.93
Rb  0.1411  0.3142  0.2821  4 Te 3.72-3.89, 2 Sb 3.93
Te  0.1092  0.7874  0.2185  2 Sb 3.08
Te  0.6092  0.4311  0.2185  2 Sb 3.08
Te  0.8908  0.2126  0.7815  2 Sb 3.08
Te  0.3908  0.5689  0.7815  2 Sb 3.08

Output
Symmetry ... No. 72
E_form (uncorrected) ... -12.242 kcal/mol of atoms
Total energy ... -2.999 eV per atom

Question: E_form (uncorrected) of number 3 (RbSb2Te)?
Answer: 0.193 kcal/mol of atoms

Question: E_form (uncorrected) of number 4 (Rb2SbTe2)?
Answer: -12.242 kcal/mol of atoms